No. 1
A plane-wave DFT calculation with PBE-GGA was carried out for a relaxed structure of Mg3Ga4Pt4.

Output
Calculated total energy, hartree per atom: -0.1622
Size of the total moment, μB per formula unit: 0.00

```
Mg3Ga4Pt4
1.0
-1.6317 4.0288 7.2337
1.6317 -4.0288 7.2337
1.6317 4.0288 -7.2337
Mg Ga Pt
3 4 4
Direct
0.0000 0.0000 0.0000
0.3992 0.8992 0.5000
0.6008 0.1008 0.5000
0.0358 0.3317 0.7041
0.3724 0.6683 0.7041
0.6276 0.3317 0.2959
0.9642 0.6683 0.2959
0.2445 0.2445 0.0000
0.2830 0.5000 0.7830
0.7170 0.5000 0.2170
0.7555 0.7555 0.0000
```



No. 2
A plane-wave DFT calculation with PBE-GGA was carried out for a relaxed structure of Be3NiBi.

Output
Size of the total moment, μB per formula unit: 0.00
Offset from the most stable computed form, eV per atom: 0.000

```
Be3NiBi
1.0
4.1712 0.0000 0.0000
0.0000 4.1712 0.0000
0.0000 0.0000 4.1712
Be Ni Bi
3 1 1
Direct
0.0000 0.0000 0.5000
0.0000 0.5000 0.0000
0.5000 0.0000 0.0000
0.0000 0.0000 0.0000
0.5000 0.5000 0.5000
```



No. 3
A plane-wave DFT calculation with PBE-GGA was carried out for a relaxed structure of BaCaIn.

Output
Calculated total energy, hartree per atom: -0.0722
Size of the total moment, μB per formula unit: 0.00

```
BaCaIn
1.0
0.0000 4.0205 4.0205
4.0205 0.0000 4.0205
4.0205 4.0205 0.0000
Ba Ca In
1 1 1
Direct
0.0000 0.0000 0.0000
0.2500 0.2500 0.2500
0.7500 0.7500 0.7500
```